Record 1
## Hf8Pd3Pt2 (PBE-GGA)

Data for Hf8Pd3Pt2 after structural relaxation.

## Properties
SG = C2/m

a = 8.101 Å, b = 8.101 Å, c = 5.417 Å
α = 93.64°, β = 93.64°, γ = 48.57°
Sites, in units of the cell vectors:
Hf1 0.051 0.051 0.254
Hf2 0.090 0.622 0.170
Hf3 0.335 0.335 0.677
Hf4 0.378 0.910 0.830
Hf5 0.622 0.090 0.170
Hf6 0.665 0.665 0.323
Hf7 0.910 0.378 0.830
Hf8 0.949 0.949 0.746
Pd1 0.312 0.688 0.500
Pd2 0.500 0.500 0.000
Pd3 0.688 0.312 0.500
Pt1 0.228 0.228 0.243
Pt2 0.772 0.772 0.757

Record 2
## CaSc2Be2 (PBE-GGA)

Data for CaSc2Be2 after structural relaxation.

## Properties
SG = P4/mbm

a = 7.663 Å, b = 7.663 Å, c = 3.426 Å
α = 90.00°, β = 90.00°, γ = 90.00°
Sites, in units of the cell vectors:
Ca1 0.000 0.000 0.000
Ca2 0.500 0.500 0.000
Sc1 0.170 0.330 0.500
Sc2 0.330 0.830 0.500
Sc3 0.670 0.170 0.500
Sc4 0.830 0.670 0.500
Be1 0.111 0.611 0.000
Be2 0.389 0.111 0.000
Be3 0.611 0.889 0.000
Be4 0.889 0.389 0.000

Record 3
## NaErIn4Se8 (PBE-GGA)

Data for NaErIn4Se8 after structural relaxation.

## Properties
SG = R3m

a = 8.298 Å, b = 8.298 Å, c = 8.298 Å
α = 59.47°, β = 59.47°, γ = 59.47°
Sites, in units of the cell vectors:
Na1 0.000 0.000 0.000
Er1 0.363 0.363 0.363
In1 0.366 0.366 0.892
In2 0.366 0.892 0.366
In3 0.748 0.748 0.748
In4 0.892 0.366 0.366
Se1 0.125 0.125 0.598
Se2 0.125 0.598 0.125
Se3 0.133 0.133 0.133
Se4 0.148 0.612 0.612
Se5 0.598 0.125 0.125
Se6 0.611 0.611 0.611
Se7 0.612 0.148 0.612
Se8 0.612 0.612 0.148

What total DFT energy (no corrections) values result from the calculations? In sequence: -8.7054, -4.2026, -3.9916 eV/atom.